Record 1
# BeCdHg, relaxed, DFT PBE
# Energy relative to the elements ... 0.38 eV/atom
# Total magnetic moment ... 0.000 Bohr magnetons per cell
# Energy ... -1.27 eV/atom
data_BeCdHg
_chemical_formula_sum 'Be1 Cd1 Hg1'
_symmetry_space_group_name_H-M 'P 3 m 1'
_symmetry_Int_Tables_number 156
_cell_length_a 3.1850
_cell_length_b 3.1850
_cell_length_c 6.3267
_cell_angle_alpha 90.00
_cell_angle_beta 90.00
_cell_angle_gamma 120.00
loop_
_symmetry_equiv_pos_as_xyz
'x,y,z'
'-y,x-y,z'
'-x+y,-x,z'
'-y,-x,z'
'-x+y,y,z'
'x,x-y,z'
loop_
_atom_site_label
_atom_site_type_symbol
_atom_site_fract_x
_atom_site_fract_y
_atom_site_fract_z
Be1 Be 0.0000 0.0000 0.0000
Cd1 Cd 0.3333 0.6667 0.3041
Hg1 Hg 0.6667 0.3333 0.7167


Record 2
# BeCdHg, relaxed, DFT PBE
# Energy relative to the elements ... 0.30 eV/atom
# Total magnetic moment ... 0.000 Bohr magnetons per cell
# Energy ... -1.35 eV/atom
data_BeCdHg
_chemical_formula_sum 'Be4 Cd4 Hg4'
_symmetry_space_group_name_H-M 'F -4 3 m'
_symmetry_Int_Tables_number 216
_symmetry_space_group_name_Hall 'F -4 2 3'
_cell_length_a 6.0914
_cell_length_b 6.0914
_cell_length_c 6.0914
_cell_angle_alpha 90.00
_cell_angle_beta 90.00
_cell_angle_gamma 90.00
loop_
_atom_site_label
_atom_site_type_symbol
_atom_site_fract_x
_atom_site_fract_y
_atom_site_fract_z
Be1 Be 0.0000 0.0000 0.0000
Cd1 Cd 0.2500 0.2500 0.7500
Hg1 Hg 0.2500 0.2500 0.2500


Record 3
# Be2CdHg, relaxed, DFT PBE
# Energy relative to the elements ... 0.34 eV/atom
# Total magnetic moment ... 0.000 Bohr magnetons per cell
# Energy ... -1.83 eV/atom
data_Be2CdHg
_chemical_formula_sum 'Be4 Cd2 Hg2'
_symmetry_space_group_name_H-M 'C 1 2/m 1'
_symmetry_Int_Tables_number 12
_cell_length_a 7.1922
_cell_length_b 4.2723
_cell_length_c 4.7134
_cell_angle_alpha 90.00
_cell_angle_beta 96.29
_cell_angle_gamma 90.00
loop_
_symmetry_equiv_pos_as_xyz
'x,y,z'
'-x,-y,-z'
'-x,y,-z'
'x,-y,z'
'x+1/2,y+1/2,z'
'-x+1/2,-y+1/2,-z'
'-x+1/2,y+1/2,-z'
'x+1/2,-y+1/2,z'
loop_
_atom_site_label
_atom_site_type_symbol
_atom_site_fract_x
_atom_site_fract_y
_atom_site_fract_z
Be1 Be 0.1644 0.0000 0.0178
Cd1 Cd 0.0000 0.0000 0.5000
Hg1 Hg 0.0000 0.5000 0.0000